Material: Ce2Sm2Co3
Method: DFT, PBE
State: optimized geometry

* DOS(E_F): 6.48 states/eV/cell
* VASP energy: -43.80 eV for the cell shown
* symmetry: P-1 (2)
* ΔE_f: -16.16 kJ/mol of atoms

abc: 4.0048 5.8953 6.9355
angles: 84.77 79.39 68.36
Closest atoms and distances in Å follow each position.
Fractional positions:
Ce: 0.3558 0.3022 0.9070  1 Co 2.29
Ce: 0.6442 0.6978 0.0930  1 Co 2.29
Sm: 0.3158 0.7852 0.6213  5 Co 2.87-3.09
Sm: 0.6842 0.2148 0.3787  5 Co 2.87-3.09
Co: 0.0000 0.0000 0.0000  4 Ce 2.64-2.69, 2 Co 2.87, 2 Sm 2.88
Co: 0.9957 0.6650 0.3266  1 Ce 2.29
Co: 0.0043 0.3350 0.6734  1 Ce 2.29

Material: CeSm2Co
Method: DFT, PBE
State: optimized geometry

* DOS(E_F): 27.60 states/eV/cell
* VASP energy: -92.08 eV for the cell shown
* symmetry: Pnma (62)
* energy above the lowest structure with this stoichiometry: 0.0 meV per atom
* ΔE_f: -13.06 kJ/mol of atoms

abc: 6.4070 6.8340 9.7614
angles: 90.00 90.00 90.00
Closest atoms and distances in Å follow each position.
Fractional positions:
Ce: 0.6558 0.5598 0.2500  1 Co 2.28
Ce: 0.8442 0.0598 0.2500  1 Co 2.28
Ce: 0.3442 0.4402 0.7500  1 Co 2.28
Ce: 0.1558 0.9402 0.7500  1 Co 2.28
Sm: 0.1740 0.6655 0.0681  2 Co 2.96-3.02
Sm: 0.3260 0.1655 0.4319  2 Co 2.96-3.02
Sm: 0.8260 0.3345 0.5681  2 Co 2.96-3.02
Sm: 0.6740 0.8345 0.9319  2 Co 2.96-3.02
Sm: 0.8260 0.3345 0.9319  2 Co 2.96-3.02
Sm: 0.6740 0.8345 0.5681  2 Co 2.96-3.02
Sm: 0.1740 0.6655 0.4319  2 Co 2.96-3.02
Sm: 0.3260 0.1655 0.0681  2 Co 2.96-3.02
Co: 0.0051 0.3579 0.2500  1 Ce 2.28
Co: 0.4949 0.8579 0.2500  1 Ce 2.28
Co: 0.9949 0.6421 0.7500  1 Ce 2.28
Co: 0.5051 0.1421 0.7500  1 Ce 2.28

Material: CeSm2Co
Method: DFT, PBE
State: optimized geometry

* DOS(E_F): 8.20 states/eV/cell
* VASP energy: -21.51 eV for the cell shown
* symmetry: R-3m (166)
* energy above the lowest structure with this stoichiometry: 376.3 meV per atom
* ΔE_f: 23.25 kJ/mol of atoms

abc: 3.6003 3.6003 10.5548
angles: 80.18 80.18 60.00
Closest atoms and distances in Å follow each position.
Fractional positions:
Co: 0.5000 0.5000 0.5000  6 Sm 2.69
Ce: 0.0000 0.0000 0.0000  2 Sm 3.47, 6 Ce 3.60
Sm: 0.1119 0.1119 0.6643  3 Co 2.69
Sm: 0.8881 0.8881 0.3357  3 Co 2.69

Material: Ce2SmCo9
Method: DFT, PBE
State: optimized geometry

* DOS(E_F): 16.59 states/eV/cell
* VASP energy: -82.47 eV for the cell shown
* symmetry: R-3m (166)
* ΔE_f: -15.52 kJ/mol of atoms

abc: 4.9315 4.9315 8.7410
angles: 73.61 73.61 60.00
Closest atoms and distances in Å follow each position.
Fractional positions:
Ce: 0.8600 0.8600 0.4199  12 Co 2.87-3.15, 3 Ce 3.14
Ce: 0.1400 0.1400 0.5801  12 Co 2.87-3.15, 3 Ce 3.14
Sm: 0.0000 0.0000 0.0000  18 Co 2.85-3.17
Co: 0.6674 0.6674 0.9977  6 Co 2.44-2.46
Co: 0.3326 0.3326 0.0023  6 Co 2.44-2.46
Co: 0.5000 0.5000 0.5000  6 Co 2.57
Co: 0.4208 0.4208 0.2410  7 Co 2.44-2.57
Co: 0.9174 0.4208 0.2410  7 Co 2.44-2.57
Co: 0.4208 0.9174 0.2410  7 Co 2.44-2.57
Co: 0.5792 0.5792 0.7590  7 Co 2.44-2.57
Co: 0.5792 0.0826 0.7590  7 Co 2.44-2.57
Co: 0.0826 0.5792 0.7590  7 Co 2.44-2.57

Material: CeSm2Co3
Method: DFT, PBE
State: optimized geometry

* DOS(E_F): 10.63 states/eV/cell
* VASP energy: -74.83 eV for the cell shown
* symmetry: P2_1/m (11)
* ΔE_f: -11.69 kJ/mol of atoms

abc: 5.0001 7.7363 7.3015
angles: 117.28 90.00 90.00
Closest atoms and distances in Å follow each position.
Fractional positions:
Ce: 0.2500 0.1810 0.0482  2 Co 2.36
Ce: 0.7500 0.8190 0.9518  2 Co 2.36
Sm: 0.7500 0.5222 0.3446  6 Co 2.74-2.94
Sm: 0.2500 0.4778 0.6554  6 Co 2.74-2.94
Sm: 0.2500 0.8399 0.3334  6 Co 2.89-2.92
Sm: 0.7500 0.1601 0.6666  6 Co 2.89-2.92
Co: 0.9855 0.1589 0.3047  1 Co 2.35, 1 Ce 2.36
Co: 0.4855 0.8411 0.6953  1 Co 2.35, 1 Ce 2.36
Co: 0.0000 0.5000 0.0000  2 Co 2.50, 2 Sm 2.74
Co: 0.5000 0.5000 0.0000  2 Co 2.50, 2 Sm 2.74
Co: 0.0145 0.8411 0.6953  1 Co 2.35, 1 Ce 2.36
Co: 0.5145 0.1589 0.3047  1 Co 2.35, 1 Ce 2.36

Material: CeSm2Co
Method: DFT, PBE
State: optimized geometry

* DOS(E_F): 6.99 states/eV/cell
* VASP energy: -22.23 eV for the cell shown
* symmetry: P4/mmm (123)
* energy above the lowest structure with this stoichiometry: 198.5 meV per atom
* ΔE_f: 6.09 kJ/mol of atoms

abc: 3.4446 3.4446 8.8953
angles: 90.00 90.00 90.00
Closest atoms and distances in Å follow each position.
Fractional positions:
Co: 0.5000 0.5000 0.0000  8 Sm 2.95
Ce: 0.5000 0.5000 0.5000  4 Ce 3.44, 8 Sm 3.70
Sm: 0.0000 0.0000 0.8129  4 Co 2.95
Sm: 0.0000 0.0000 0.1871  4 Co 2.95

Material: Ce3Sm4Co2
Method: DFT, PBE
State: optimized geometry

* DOS(E_F): 14.50 states/eV/cell
* VASP energy: -51.72 eV for the cell shown
* symmetry: C2/m (12)
* ΔE_f: -8.92 kJ/mol of atoms

abc: 3.6345 8.8039 8.6155
angles: 116.44 102.18 90.00
Closest atoms and distances in Å follow each position.
Fractional positions:
Ce: 0.0745 0.1879 0.1491  2 Co 2.56
Ce: 0.9255 0.8121 0.8509  2 Co 2.56
Ce: 0.0000 0.5000 0.0000  4 Co 2.64
Sm: 0.2280 0.6435 0.4561  3 Co 3.07-3.43
Sm: 0.7720 0.3565 0.5439  3 Co 3.07-3.43
Sm: 0.6283 0.8848 0.2565  1 Co 3.22, 2 Ce 3.57
Sm: 0.3717 0.1152 0.7435  1 Co 3.22, 2 Ce 3.57
Co: 0.4217 0.6045 0.8433  4 Ce 2.56-2.64
Co: 0.5783 0.3955 0.1567  4 Ce 2.56-2.64

Material: Ce2SmCo
Method: DFT, PBE
State: optimized geometry

* DOS(E_F): 9.23 states/eV/cell
* VASP energy: -23.74 eV for the cell shown
* symmetry: R-3m (166)
* energy above the lowest structure with this stoichiometry: 104.0 meV per atom
* ΔE_f: -1.25 kJ/mol of atoms

abc: 3.6846 3.6846 9.3137
angles: 78.59 78.59 60.00
Closest atoms and distances in Å follow each position.
Fractional positions:
Co: 0.0000 0.0000 0.0000  6 Ce 2.67
Ce: 0.2742 0.2742 0.1775  3 Co 2.67
Ce: 0.7258 0.7258 0.8225  3 Co 2.67
Sm: 0.5000 0.5000 0.5000  6 Ce 3.62, 6 Sm 3.68

Material: Ce2SmCo
Method: DFT, PBE
State: optimized geometry

* DOS(E_F): 63.97 states/eV/cell
* VASP energy: -193.29 eV for the cell shown
* symmetry: Pnma (62)
* energy above the lowest structure with this stoichiometry: 0.0 meV per atom
* ΔE_f: -11.29 kJ/mol of atoms

abc: 6.0648 9.5951 13.6733
angles: 90.00 90.00 90.00
Closest atoms and distances in Å follow each position.
Fractional positions:
Ce: 0.0752 0.0675 0.2122  2 Co 2.56-2.63
Ce: 0.5752 0.9325 0.2878  2 Co 2.56-2.63
Ce: 0.9248 0.5675 0.7878  2 Co 2.56-2.63
Ce: 0.4248 0.4325 0.7122  2 Co 2.56-2.63
Ce: 0.9248 0.9325 0.7878  2 Co 2.56-2.63
Ce: 0.4248 0.0675 0.7122  2 Co 2.56-2.63
Ce: 0.0752 0.4325 0.2122  2 Co 2.56-2.63
Ce: 0.5752 0.5675 0.2878  2 Co 2.56-2.63
Ce: 0.7580 0.5627 0.0376  2 Co 2.57-2.65
Ce: 0.2580 0.4373 0.4624  2 Co 2.57-2.65
Ce: 0.2420 0.0627 0.9624  2 Co 2.57-2.65
Ce: 0.7420 0.9373 0.5376  2 Co 2.57-2.65
Ce: 0.2420 0.4373 0.9624  2 Co 2.57-2.65
Ce: 0.7420 0.5627 0.5376  2 Co 2.57-2.65
Ce: 0.7580 0.9373 0.0376  2 Co 2.57-2.65
Ce: 0.2580 0.0627 0.4624  2 Co 2.57-2.65
Sm: 0.5595 0.2500 0.1453  3 Co 3.08-3.24
Sm: 0.0595 0.7500 0.3547  3 Co 3.08-3.24
Sm: 0.4405 0.7500 0.8547  3 Co 3.08-3.24
Sm: 0.9405 0.2500 0.6453  3 Co 3.08-3.24
Sm: 0.7597 0.2500 0.3977  3 Co 3.07-3.20
Sm: 0.2597 0.7500 0.1023  3 Co 3.07-3.20
Sm: 0.2403 0.7500 0.6023  3 Co 3.07-3.20
Sm: 0.7403 0.2500 0.8977  3 Co 3.07-3.20
Co: 0.2643 0.2500 0.3286  4 Ce 2.57-2.63
Co: 0.7643 0.7500 0.1714  4 Ce 2.57-2.63
Co: 0.7357 0.7500 0.6714  4 Ce 2.57-2.63
Co: 0.2357 0.2500 0.8286  4 Ce 2.57-2.63
Co: 0.0476 0.2500 0.0763  4 Ce 2.56-2.65
Co: 0.5476 0.7500 0.4237  4 Ce 2.56-2.65
Co: 0.9524 0.7500 0.9237  4 Ce 2.56-2.65
Co: 0.4524 0.2500 0.5763  4 Ce 2.56-2.65

Material: Ce12SmCo6
Method: DFT, PBE
State: optimized geometry

* DOS(E_F): 44.72 states/eV/cell
* VASP energy: -120.62 eV for the cell shown
* symmetry: Im-3 (204)
* ΔE_f: -10.48 kJ/mol of atoms

abc: 8.3453 8.3453 8.3453
angles: 109.47 109.47 109.47
Closest atoms and distances in Å follow each position.
Fractional positions:
Ce: 0.3102 0.1230 0.8127  1 Co 2.45
Ce: 0.3102 0.4975 0.1873  1 Co 2.45
Ce: 0.6898 0.5025 0.8127  1 Co 2.45
Ce: 0.6898 0.8770 0.1873  1 Co 2.45
Ce: 0.1230 0.8127 0.3102  1 Co 2.45
Ce: 0.4975 0.1873 0.3102  1 Co 2.45
Ce: 0.5025 0.8127 0.6898  1 Co 2.45
Ce: 0.8770 0.1873 0.6898  1 Co 2.45
Ce: 0.8127 0.3102 0.1230  1 Co 2.45
Ce: 0.1873 0.3102 0.4975  1 Co 2.45
Ce: 0.8127 0.6898 0.5025  1 Co 2.45
Ce: 0.1873 0.6898 0.8770  1 Co 2.45
Sm: 0.0000 0.0000 0.0000  12 Ce 3.49
Co: 0.3572 0.5000 0.8572  2 Ce 2.45
Co: 0.6428 0.5000 0.1428  2 Ce 2.45
Co: 0.5000 0.8572 0.3572  2 Ce 2.45
Co: 0.5000 0.1428 0.6428  2 Ce 2.45
Co: 0.8572 0.3572 0.5000  2 Ce 2.45
Co: 0.1428 0.6428 0.5000  2 Ce 2.45

Material: Ce2Sm3Co4
Method: DFT, PBE
State: optimized geometry

* DOS(E_F): 11.14 states/eV/cell
* VASP energy: -55.87 eV for the cell shown
* symmetry: C2/m (12)
* ΔE_f: -15.25 kJ/mol of atoms

abc: 4.0610 5.8471 8.7160
angles: 101.63 90.00 110.32
Closest atoms and distances in Å follow each position.
Fractional positions:
Ce: 0.3199 0.6399 0.2215  5 Co 2.46-2.66
Ce: 0.6801 0.3601 0.7785  5 Co 2.46-2.66
Sm: 0.3776 0.7553 0.6169  6 Co 2.98-3.27, 1 Ce 3.31
Sm: 0.0000 0.0000 0.0000  8 Co 3.13-3.49
Sm: 0.6224 0.2447 0.3831  6 Co 2.98-3.27, 1 Ce 3.31
Co: 0.7210 0.4421 0.0906  3 Ce 2.46-2.66, 2 Co 2.73
Co: 0.0827 0.1655 0.6346  2 Ce 2.50, 1 Co 2.64
Co: 0.9173 0.8345 0.3654  2 Ce 2.50, 1 Co 2.64
Co: 0.2790 0.5579 0.9094  3 Ce 2.46-2.66, 2 Co 2.73

Number 1: total magnetization 0.000 μB per formula unit. Number 2: total magnetization 0.130 μB per formula unit. Number 3: total magnetization 1.734 μB per formula unit. Number 4: total magnetization 7.739 μB per formula unit. Number 5: total magnetization 0.378 μB per formula unit. Number 6: total magnetization 2.165 μB per formula unit. Number 7: total magnetization 0.000 μB per formula unit. Number 8: total magnetization 0.653 μB per formula unit. Number 9: total magnetization 0.000 μB per formula unit. Number 10: total magnetization 2.534 μB per formula unit. Number 11: total magnetization 0.000 μB per formula unit.